No. 1
The following is a DFT calculation (PBEsol) of Li5ReO6 after structural relaxation.

Structure (POSCAR):
```
Li5ReO6
1.0
2.511 -4.338 0.000
2.511 4.338 0.000
-1.698 0.000 4.692
Li Re O
5 1 6
Cartesian
0.000 0.000 0.000
1.662 2.894 2.346
2.511 1.536 0.000
2.511 -1.536 0.000
1.662 -2.894 2.346
1.662 0.000 2.346
0.894 1.339 1.243
0.117 0.000 3.423
0.894 -1.339 1.243
2.429 1.339 3.449
3.207 0.000 1.269
2.429 -1.339 3.449
```

Summary:
Formation energy from raw total energies ... -1.984 eV per atom
Magnetization ... 0.000 μB/atom

No. 2
The following is a DFT calculation (PBEsol) of KP4N7 after structural relaxation.

Structure (POSCAR):
```
KP4N7
1.0
9.862 0.000 0.000
0.000 12.294 0.000
0.000 0.000 4.671
K P N
4 16 28
Cartesian
1.509 3.073 1.129
3.422 9.220 3.465
6.440 3.073 1.206
8.353 9.220 3.542
0.877 7.755 0.993
0.877 10.686 0.993
1.539 0.005 3.353
1.539 6.141 3.353
3.391 12.288 1.018
3.391 6.152 1.018
4.054 1.608 3.329
4.054 4.539 3.329
5.808 7.755 1.343
5.808 10.686 1.343
6.470 0.005 3.654
6.470 6.141 3.654
8.322 12.288 1.318
8.322 6.152 1.318
8.985 1.608 3.678
8.985 4.539 3.678
0.603 1.272 3.164
0.603 4.875 3.164
1.106 7.464 4.104
1.106 10.977 4.104
1.328 9.220 1.395
1.968 6.672 1.781
1.968 11.769 1.781
2.963 0.525 4.117
2.963 5.622 4.117
3.603 3.073 3.730
3.825 1.317 1.768
3.825 4.830 1.768
4.328 7.419 0.828
4.328 11.022 0.828
5.534 1.272 3.843
5.534 4.875 3.843
6.037 7.464 2.903
6.037 10.977 2.903
6.259 9.220 0.941
6.899 6.672 0.554
6.899 11.769 0.554
7.894 0.525 2.890
7.894 5.622 2.890
8.533 3.073 3.277
8.756 1.317 0.567
8.756 4.830 0.567
9.259 7.419 1.508
9.259 11.022 1.508
```

Summary:
Formation energy from raw total energies ... -0.651 eV per atom
Magnetization ... 0.000 μB/atom

No. 3
The following is a DFT calculation (PBEsol) of TlSn2SbPt after structural relaxation.

Structure (POSCAR):
```
TlSn2SbPt
1.0
5.691 0.000 0.000
0.000 5.691 0.000
0.000 0.000 4.888
Tl Sn Sb Pt
1 2 1 1
Cartesian
0.000 0.000 0.000
0.000 2.846 2.444
2.846 0.000 2.444
2.846 2.846 2.444
2.846 2.846 0.000
```

Summary:
Formation energy from raw total energies ... 0.576 eV per atom
Magnetization ... 0.000 μB/atom

No. 4
The following is a DFT calculation (PBEsol) of MgTeMo after structural relaxation.

Structure (POSCAR):
```
MgTeMo
1.0
0.000 3.171 3.171
3.171 0.000 3.171
3.171 3.171 0.000
Mg Te Mo
1 1 1
Cartesian
0.000 0.000 0.000
3.171 3.171 3.171
1.586 1.586 1.586
```

Summary:
Formation energy from raw total energies ... 0.523 eV per atom
Magnetization ... 0.000 μB/atom

No. 5
The following is a DFT calculation (PBEsol) of Pt4Rh3 after structural relaxation.

Structure (POSCAR):
```
Pt4Rh3
1.0
-1.649 1.649 9.359
1.649 -1.649 9.359
1.649 1.649 -9.359
Pt Rh
4 3
Cartesian
0.000 0.000 1.331
0.000 0.000 6.657
0.000 0.000 12.061
0.000 0.000 17.387
0.000 0.000 4.039
0.000 0.000 9.359
0.000 0.000 14.679
```

Summary:
Energy of formation from the pure elements ... 77.8 meV per atom
Magnetization ... 0.000 μB/atom

No. 6
The following is a DFT calculation (PBEsol) of MnBeTl2 after structural relaxation.

Structure (POSCAR):
```
MnBeTl2
1.0
-1.564 2.162 5.429
1.564 -2.162 5.429
1.564 2.162 -5.429
Mn Be Tl
1 1 2
Cartesian
0.000 0.000 0.000
0.000 2.162 3.649
1.564 0.000 3.197
0.000 0.000 6.267
```

Summary:
Energy above the most stable polymorph in this dataset ... 0.439 eV/f.u.
Energy of formation from the pure elements ... 566.4 meV per atom
Magnetization ... 0.801 μB/atom

Question: What is the formula in the fifth record?
Answer: Pt4Rh3